Density functional theory data (GGA-PBE) for an optimized crystal structure of Ta2Mo.

VASP energy ... -11.1055 eV per atom
Formation enthalpy at 0 K ... 407 meV per atom
Fermi-level density of states ... 11.42 states/eV per cell
ΔE to the lowest computed polymorph ... 12.976 kcal/mol of atoms

abc: 5.3919 5.3919 8.6773
angles: 90.00 90.00 120.00
Last column: nearest neighbours and their distance in Å.
Space group P6_3/mmc (No. 194)
Asymmetric unit:
Ta1 0.0000 0.0000 0.0000 (multiplicity 2)  6 Ta 2.69
Ta2 0.1707 0.3415 0.2500 (multiplicity 6)  6 Ta 2.63-2.76
Mo1 0.3333 0.6667 0.5561 (multiplicity 4)  12 Ta 3.06-3.18, 4 Mo 3.26-3.37